# 1
{
  "formula": "MgNi6Mo",
  "functional": "SCAN",
  "state": "PBEsol geometry",
  "ef_ev_per_atom": -0.070,
  "energy_ev_per_atom": -17.18,
  "vol_a3_per_cell": 365.2,
  "cell": [[6.186, 0.001, 0.000], [-2.055, 5.835, 0.000], [0.000, 0.000, 10.118]],
  "species": ["Mo", "Ni", "Ni", "Ni", "Mg", "Mo", "Ni", "Ni", "Ni", "Mg", "Ni", "Ni", "Ni", "Mo", "Ni", "Ni", "Ni", "Ni", "Ni", "Ni", "Ni", "Mg", "Ni", "Ni", "Ni", "Mo", "Ni", "Ni", "Ni", "Mg", "Ni", "Ni"],
  "frac_coords": [[0.500, 0.500, 0.259], [0.128, 0.380, 0.878], [0.128, 0.380, 0.122], [0.132, 0.379, 0.628], [0.751, 0.249, 0.500], [0.500, 0.500, 0.741], [0.379, 0.132, 0.628], [0.500, 0.500, 0.000], [0.252, 0.748, 0.244], [0.249, 0.751, 0.500], [0.379, 0.132, 0.372], [0.621, 0.868, 0.628], [0.872, 0.620, 0.878], [0.750, 0.250, 0.000], [0.748, 0.252, 0.244], [0.500, 0.500, 0.500], [0.620, 0.872, 0.122], [0.868, 0.621, 0.372], [0.000, 0.000, 0.500], [0.868, 0.621, 0.628], [0.132, 0.379, 0.372], [0.000, 0.000, 0.251], [0.380, 0.128, 0.878], [0.621, 0.868, 0.372], [0.380, 0.128, 0.122], [0.250, 0.750, 0.000], [0.620, 0.872, 0.878], [0.748, 0.252, 0.756], [0.000, 0.000, 0.000], [0.000, 0.000, 0.749], [0.872, 0.620, 0.122], [0.252, 0.748, 0.756]]
}



# 2
{
  "formula": "Na2Nd2Ti3O10",
  "functional": "SCAN",
  "state": "PBEsol geometry",
  "raw_formation_energy_ev_per_fu": -55.48,
  "energy_ev_per_atom": -15.38,
  "vol_a3_per_cell": 206.1,
  "cell": [[-0.082, -0.585, 3.764], [-3.752, -0.639, -0.181], [4.374, -13.214, -3.886]],
  "species": ["Ti", "O", "Nd", "Ti", "O", "O", "Ti", "O", "O", "O", "Na", "O", "O", "Na", "O", "Nd", "O"],
  "frac_coords": [[0.000, 0.000, 0.000], [0.131, 0.631, 0.262], [0.575, 0.575, 0.150], [0.146, 0.146, 0.293], [0.500, 0.000, 0.000], [0.869, 0.369, 0.738], [0.854, 0.854, 0.707], [0.792, 0.792, 0.584], [0.208, 0.208, 0.416], [0.067, 0.067, 0.135], [0.712, 0.712, 0.423], [0.933, 0.933, 0.865], [0.631, 0.131, 0.262], [0.288, 0.288, 0.577], [0.369, 0.869, 0.738], [0.425, 0.425, 0.850], [0.000, 0.500, 0.000]]
}



# 3
{
  "formula": "RbMg2ScI",
  "functional": "SCAN",
  "state": "PBEsol geometry",
  "raw_formation_energy_ev_per_fu": 4.36,
  "energy_ev_per_atom": -15.46,
  "vol_a3_per_cell": 237.1,
  "cell": [[-6.117, -0.141, 0.995], [-0.497, -4.894, -3.748], [0.871, -3.778, 4.818]],
  "species": ["Rb", "Mg", "Mg", "Sc", "I"],
  "frac_coords": [[0.000, 0.000, 0.000], [0.000, 0.000, 0.500], [0.000, 0.500, 0.000], [0.500, 0.500, 0.500], [0.500, 0.000, 0.000]]
}



# 4
{
  "formula": "LiCa3In",
  "functional": "SCAN",
  "state": "PBEsol geometry",
  "ef_ev_per_atom": -0.006,
  "energy_ev_per_atom": -12.96,
  "polymorph_energy_mev_per_atom": 0,
  "vol_a3_per_cell": 214.0,
  "cell": [[-3.073, -1.886, 4.773], [0.190, -5.601, -2.091], [5.128, -0.923, 2.937]],
  "species": ["Ca", "Ca", "Li", "In", "Ca"],
  "frac_coords": [[0.000, 0.500, 0.000], [0.000, 0.000, 0.500], [0.500, 0.500, 0.500], [0.000, 0.000, 0.000], [0.500, 0.000, 0.000]]
}



# 5
{
  "formula": "Y2CoPt",
  "functional": "SCAN",
  "state": "PBEsol geometry",
  "ef_ev_per_atom": -0.854,
  "energy_ev_per_atom": -36.65,
  "vol_a3_per_cell": 77.3,
  "cell": [[-1.515, 3.007, 0.529], [-3.590, -2.200, 2.224], [2.304, 0.431, 4.145]],
  "species": ["Pt", "Y", "Y", "Co"],
  "frac_coords": [[0.500, 0.000, 0.000], [0.000, 0.000, 0.500], [0.000, 0.500, 0.000], [0.500, 0.500, 0.500]]
}



# 6
{
  "formula": "LiZr2Au",
  "functional": "SCAN",
  "state": "PBEsol geometry",
  "ef_ev_per_atom": -0.389,
  "energy_ev_per_atom": -33.63,
  "vol_a3_per_cell": 74.9,
  "cell": [[3.357, 0.000, 0.000], [0.000, 3.357, 0.000], [0.000, 0.000, 6.647]],
  "species": ["Zr", "Li", "Zr", "Au"],
  "frac_coords": [[0.500, 0.500, 0.277], [0.500, 0.500, 0.713], [0.000, 0.000, 0.985], [0.000, 0.000, 0.525]]
}



# 7
{
  "formula": "TaFeSi",
  "functional": "SCAN",
  "state": "PBEsol geometry",
  "raw_formation_energy_ev_per_fu": 1.28,
  "energy_ev_per_atom": -31.15,
  "vol_a3_per_cell": 48.5,
  "cell": [[4.094, 0.000, 0.000], [2.047, 3.545, 0.000], [2.047, 1.182, 3.342]],
  "species": ["Si", "Ta", "Fe"],
  "frac_coords": [[0.500, 0.500, 0.500], [0.250, 0.250, 0.250], [0.000, 0.000, 0.000]]
}



# 8
{
  "formula": "Cd2CoHg",
  "functional": "SCAN",
  "state": "PBEsol geometry",
  "ef_ev_per_atom": 0.252,
  "energy_ev_per_atom": -36.32,
  "vol_a3_per_cell": 72.0,
  "cell": [[2.978, 0.000, 0.000], [1.489, 2.579, 0.000], [1.489, 0.860, 9.375]],
  "species": ["Cd", "Cd", "Co", "Hg"],
  "frac_coords": [[0.000, 0.000, 0.001], [0.240, 0.240, 0.280], [0.500, 0.500, 0.499], [0.760, 0.760, 0.720]]
}